(1)
A plane-wave DFT calculation with PBE was carried out for Cd2TeAs after structural relaxation.

Values from the calculation:
Calculated volume in Å³ per cell: 101.8
Calculated total energy in eV per cell: -8.9

Cell: 4.1203 4.2066 5.8756 Å, 90.00 90.00 90.00°
Closest atoms and distances in Å follow each position.
Space group Pmmm (No. 47)
Symmetry-distinct sites (fractional):
Cd1 0.0000 0.0000 0.0000 (multiplicity 1)  4 As 2.94
Cd2 0.0000 0.5000 0.5000 (multiplicity 1)  4 Te 2.94
Te1 0.5000 0.0000 0.5000 (multiplicity 1)  4 Cd 2.94
As1 0.5000 0.5000 0.0000 (multiplicity 1)  4 Cd 2.94



(2)
A plane-wave DFT calculation with PBE was carried out for Cd3TeAs after structural relaxation.

Values from the calculation:
Calculated volume in Å³ per cell: 145.9
Calculated total energy in eV per cell: -10.2

Cell: 5.2639 5.2639 5.2639 Å, 90.00 90.00 90.00°
Closest atoms and distances in Å follow each position.
Space group Pm-3m (No. 221)
Symmetry-distinct sites (fractional):
Cd1 0.0000 0.0000 0.5000 (multiplicity 3)  2 As 2.63
Te1 0.5000 0.5000 0.5000 (multiplicity 1)  12 Cd 3.72
As1 0.0000 0.0000 0.0000 (multiplicity 1)  6 Cd 2.63



(3)
A plane-wave DFT calculation with PBE was carried out for Cd2TeAs after structural relaxation.

Values from the calculation:
Calculated volume in Å³ per cell: 217.0
Calculated total energy in eV per cell: -19.4

Cell: 8.4791 4.1631 6.5780 Å, 90.00 110.83 90.00°
Closest atoms and distances in Å follow each position.
Space group Cm (No. 8)
Symmetry-distinct sites (fractional):
Cd1 0.0000 0.0000 0.0000 (multiplicity 2)  3 As 2.61-2.76, 1 Cd 2.85
Cd2 0.1746 0.0000 0.7010 (multiplicity 2)  3 Te 2.85-3.00, 1 Cd 2.85
Te1 0.4129 0.0000 0.4856 (multiplicity 2)  3 Cd 2.85-3.00
As1 0.2292 0.5000 0.1026 (multiplicity 2)  3 Cd 2.61-2.76



(4)
A plane-wave DFT calculation with PBE was carried out for Cd2TeAs after structural relaxation.

Values from the calculation:
Calculated volume in Å³ per cell: 515.9
Calculated total energy in eV per cell: -40.3

Cell: 6.4375 6.4375 12.4498 Å, 90.00 90.00 90.00°
Closest atoms and distances in Å follow each position.
Space group I-42d (No. 122)
Symmetry-distinct sites (fractional):
Cd1 0.2195 0.2500 0.1250 (multiplicity 8)  2 As 2.65, 2 Te 2.88
Te1 0.0000 0.0000 0.5000 (multiplicity 4)  4 Cd 2.88
As1 0.0000 0.0000 0.0000 (multiplicity 4)  4 Cd 2.65



(5)
A plane-wave DFT calculation with PBE was carried out for Cd2TeAs after structural relaxation.

Values from the calculation:
Calculated volume in Å³ per cell: 205.7
Calculated total energy in eV per cell: -18.8

Cell: 3.9215 4.0324 13.0096 Å, 90.00 90.00 90.00°
Closest atoms and distances in Å follow each position.
Space group Imm2 (No. 44)
Symmetry-distinct sites (fractional):
Cd1 0.0000 0.0000 0.0000 (multiplicity 2)  4 As 2.93, 2 Te 3.07
Cd2 0.0000 0.5000 0.2204 (multiplicity 2)  2 As 2.83, 4 Te 3.11
Te1 0.0000 0.5000 0.8221 (multiplicity 2)  6 Cd 3.07-3.11
As1 0.0000 0.0000 0.5632 (multiplicity 2)  6 Cd 2.83-2.93



(6)
A plane-wave DFT calculation with PBE was carried out for Cd2TeAs after structural relaxation.

Values from the calculation:
Calculated volume in Å³ per cell: 206.9
Calculated total energy in eV per cell: -18.9

Cell: 6.0968 8.2881 4.5707 Å, 90.00 116.36 90.00°
Closest atoms and distances in Å follow each position.
Space group C2/m (No. 12)
Symmetry-distinct sites (fractional):
Cd1 0.2500 0.2500 0.0000 (multiplicity 4)  2 Te 2.96, 2 As 2.96, 2 Cd 3.05
Te1 0.0000 0.0000 0.5000 (multiplicity 2)  4 Cd 2.96, 2 As 3.05
As1 0.0000 0.5000 0.5000 (multiplicity 2)  4 Cd 2.96, 2 Te 3.05



(7)
A plane-wave DFT calculation with PBE was carried out for CdTeAs after structural relaxation.

Values from the calculation:
Calculated volume in Å³ per cell: 300.6
Calculated total energy in eV per cell: -31.5

Cell: 3.9507 4.9413 15.3990 Å, 90.00 90.00 90.00°
Closest atoms and distances in Å follow each position.
Space group Fmm2 (No. 42)
Symmetry-distinct sites (fractional):
Cd1 0.0000 0.0000 0.0000 (multiplicity 4)  2 As 2.83, 4 Cd 3.16
Te1 0.0000 0.0000 0.6682 (multiplicity 4)  4 Te 3.16, 2 Cd 3.26
As1 0.0000 0.0000 0.3683 (multiplicity 4)  2 Cd 2.83, 4 As 3.16



(8)
A plane-wave DFT calculation with PBE was carried out for Cd2TeAs after structural relaxation.

Values from the calculation:
Calculated volume in Å³ per cell: 194.1
Calculated total energy in eV per cell: -17.5

Cell: 4.8475 4.8475 8.2612 Å, 90.00 90.00 90.00°
Closest atoms and distances in Å follow each position.
Space group I4/mmm (No. 139)
Symmetry-distinct sites (fractional):
Cd1 0.0000 0.5000 0.2500 (multiplicity 4)  4 As 3.18, 4 Te 3.18, 4 Cd 3.43
Te1 0.0000 0.0000 0.0000 (multiplicity 2)  8 Cd 3.18, 4 As 3.43
As1 0.0000 0.0000 0.5000 (multiplicity 2)  8 Cd 3.18, 4 Te 3.43



(9)
A plane-wave DFT calculation with PBE was carried out for Cd2TeAs after structural relaxation.

Values from the calculation:
Calculated volume in Å³ per cell: 101.2
Calculated total energy in eV per cell: -8.8

Cell: 3.1191 3.1191 10.4002 Å, 90.00 90.00 90.00°
Closest atoms and distances in Å follow each position.
Space group P4mm (No. 99)
Symmetry-distinct sites (fractional):
Cd1 0.0000 0.0000 0.0000 (multiplicity 1)  4 As 2.98, 8 Cd 3.12-3.19
Cd2 0.5000 0.5000 0.2211 (multiplicity 1)  8 Cd 3.12-3.19, 4 Te 3.48
Te1 0.0000 0.0000 0.4794 (multiplicity 1)  4 Te 3.12, 4 Cd 3.48
As1 0.5000 0.5000 0.8070 (multiplicity 1)  4 Cd 2.98, 4 As 3.12



(10)
A plane-wave DFT calculation with PBE was carried out for Cd2TeAs after structural relaxation.

Values from the calculation:
Calculated volume in Å³ per cell: 210.3
Calculated total energy in eV per cell: -18.1

Cell: 13.0006 3.6725 4.4545 Å, 90.00 98.64 90.00°
Closest atoms and distances in Å follow each position.
Space group C2/m (No. 12)
Symmetry-distinct sites (fractional):
Cd1 0.2078 0.0000 0.2236 (multiplicity 4)  4 Cd 3.03-3.13, 1 Te 3.13, 2 As 3.29
Te1 0.0000 0.0000 0.5000 (multiplicity 2)  4 As 2.89, 2 Cd 3.13
As1 0.0000 0.5000 0.0000 (multiplicity 2)  4 Te 2.89



(11)
A plane-wave DFT calculation with PBE was carried out for Cd2TeAs after structural relaxation.

Values from the calculation:
Calculated volume in Å³ per cell: 104.3
Calculated total energy in eV per cell: -8.9

Cell: 3.7197 3.7197 7.5417 Å, 90.00 90.00 90.00°
Closest atoms and distances in Å follow each position.
Space group P4mm (No. 99)
Symmetry-distinct sites (fractional):
Cd1 0.0000 0.0000 0.0000 (multiplicity 1)  4 Cd 3.08, 1 Te 3.37, 4 As 3.45
Cd2 0.5000 0.5000 0.2134 (multiplicity 1)  4 Cd 3.08
Te1 0.0000 0.0000 0.5537 (multiplicity 1)  4 As 2.86
As1 0.5000 0.5000 0.7041 (multiplicity 1)  4 Te 2.86



(12)
A plane-wave DFT calculation with PBE was carried out for CdTeAs after structural relaxation.

Values from the calculation:
Calculated volume in Å³ per cell: 187.9
Calculated total energy in eV per cell: -17.1

Cell: 4.6110 4.6245 10.2963 Å, 79.88 81.39 60.68°
Closest atoms and distances in Å follow each position.
Space group P-1 (No. 2)
Symmetry-distinct sites (fractional):
Cd1 0.2297 0.2470 0.1167 (multiplicity 2)  3 As 2.69-2.77
Te1 0.2218 0.6044 0.5955 (multiplicity 2)  1 As 2.68, 1 Te 2.85
As1 0.4580 0.4229 0.8356 (multiplicity 2)  1 Te 2.68, 3 Cd 2.69-2.77